DFT (PBE) results for a relaxed structure of BeCd2As.

a b c (Å): 4.1489 4.4547 5.0722
angles (deg): 90.00 92.78 90.00
Closest atoms and distances in Å follow each position.
Space group P2/m (No. 10)
Symmetry-distinct sites (fractional):
Be (0.0000, 0.0000, 0.0000) x1  2 As 2.07
Cd (0.2225, 0.5000, 0.2943) x2  2 Be 2.81, 2 Cd 2.85-3.03, 2 As 2.95
As (0.5000, 0.0000, 0.0000) x1  2 Be 2.07

Computed properties:
energy of formation from the pure elements = 29.26 kJ per mole of atoms
Fermi-level density of states = 0.370 states/eV/atom